1.
The following is a DFT calculation (meta-GGA SCAN) of MnHAu2 at its PBEsol-relaxed geometry.

The total magnetization comes out at 16.86 μB/cell. The value obtained for the energy is -40.00 eV per atom.

The space group is I-42d (No. 122) and the conventional cell measures 6.3816, 6.3816 and 5.1966 Å, with angles of 90.00, 90.00 and 90.00 degrees. The distinct sites, in fractional coordinates, are Mn at (0.0000, 0.0000, 0.0000), H at (0.0000, 0.0000, 0.5000) and Au at (0.1642, 0.7500, 0.6250).

---

2.
The following is a DFT calculation (meta-GGA SCAN) of Cr2ReOs at its PBEsol-relaxed geometry.

The total magnetization comes out at 0.00 μB/cell. The value obtained for the energy is -44.77 eV per atom. The value obtained for the formation energy is 0.676 eV/f.u.

The space group is Cmmm (No. 65) and the conventional cell measures 2.9523, 4.2862 and 8.2428 Å, with angles of 90.00, 90.00 and 90.00 degrees. The distinct sites, in fractional coordinates, are Cr at (0.0000, 0.0000, 0.2498), Re at (0.0000, 0.5000, 0.0000) and Os at (0.0000, 0.5000, 0.5000).

---

Number 1: DOS at the Fermi energy 1.1 states/eV/f.u.. Number 2: DOS at the Fermi energy 4.7 states/eV/f.u..